1.
# PBE LaFeRu2, optimized geometry
# total moment: 3.77 μB per cell
# energy relative to the lowest polymorph listed for this composition: 227 meV per atom
data_LaFeRu2
_chemical_formula_sum 'La1 Fe1 Ru2'
_space_group_name_H-M_alt 'P 1 2/m 1'
_space_group_IT_number 10
_space_group_name_Hall '-P 2y'
_cell_length_a 2.975
_cell_length_b 4.133
_cell_length_c 5.936
_cell_angle_alpha 90.00
_cell_angle_beta 99.86
_cell_angle_gamma 90.00
loop_
_atom_site_label
_atom_site_type_symbol
_atom_site_fract_x
_atom_site_fract_y
_atom_site_fract_z
_atom_site_occupancy
La1 La 0.000 0.000 0.000 1
Fe1 Fe 0.500 0.000 0.500 1
Ru1 Ru 0.283 0.500 0.692 1

2.
# PBE Cd2InPb4, optimized geometry
# total moment: 0.00 μB per cell
# energy relative to the lowest polymorph listed for this composition: 0 meV per atom
data_Cd2InPb4
_chemical_formula_sum 'Cd4 In2 Pb8'
_space_group_name_H-M_alt 'P 1'
_space_group_IT_number 1
_space_group_name_Hall 'P 1'
_cell_length_a 8.148
_cell_length_b 8.167
_cell_length_c 8.186
_cell_angle_alpha 110.00
_cell_angle_beta 109.06
_cell_angle_gamma 108.98
loop_
_atom_site_label
_atom_site_type_symbol
_atom_site_fract_x
_atom_site_fract_y
_atom_site_fract_z
_atom_site_occupancy
Cd1 Cd 0.000 0.000 0.000 1
Cd2 Cd 0.241 0.742 0.498 1
Cd3 Cd 0.499 0.871 0.130 1
Cd4 Cd 0.742 0.371 0.871 1
In1 In 0.120 0.245 0.625 1
In2 In 0.619 0.496 0.373 1
Pb1 Pb 0.041 0.627 0.755 1
Pb2 Pb 0.199 0.456 0.084 1
Pb3 Pb 0.371 0.117 0.416 1
Pb4 Pb 0.372 0.115 0.915 1
Pb5 Pb 0.541 0.627 0.756 1
Pb6 Pb 0.700 0.956 0.586 1
Pb7 Pb 0.871 0.286 0.245 1
Pb8 Pb 0.871 0.786 0.244 1

3.
# PBE Pm2Ge3AsRh4, optimized geometry
# total moment: 0.00 μB per cell
data_Pm2Ge3AsRh4
_chemical_formula_sum 'Pm2 Ge3 As1 Rh4'
_space_group_name_H-M_alt 'P -4 m 2'
_space_group_IT_number 115
_space_group_name_Hall 'P -4 -2'
_cell_length_a 4.282
_cell_length_b 4.282
_cell_length_c 10.036
_cell_angle_alpha 90.00
_cell_angle_beta 90.00
_cell_angle_gamma 90.00
loop_
_atom_site_label
_atom_site_type_symbol
_atom_site_fract_x
_atom_site_fract_y
_atom_site_fract_z
_atom_site_occupancy
Pm1 Pm 0.000 0.500 0.242 1
Ge1 Ge 0.000 0.000 0.000 1
Ge2 Ge 0.000 0.500 0.630 1
As1 As 0.500 0.500 0.000 1
Rh1 Rh 0.000 0.000 0.500 1
Rh2 Rh 0.000 0.500 0.875 1
Rh3 Rh 0.500 0.500 0.500 1

4.
# PBE Tb8Ru5Au, optimized geometry
# total moment: 0.00 μB per cell
data_Tb8Ru5Au
_chemical_formula_sum 'Tb16 Ru10 Au2'
_space_group_name_H-M_alt 'I -4'
_space_group_IT_number 82
_space_group_name_Hall 'I -4'
_cell_length_a 8.678
_cell_length_b 8.678
_cell_length_c 8.541
_cell_angle_alpha 90.00
_cell_angle_beta 90.00
_cell_angle_gamma 90.00
loop_
_atom_site_label
_atom_site_type_symbol
_atom_site_fract_x
_atom_site_fract_y
_atom_site_fract_z
_atom_site_occupancy
Tb1 Tb 0.066 0.176 0.189 1
Tb2 Tb 0.068 0.312 0.572 1
Ru1 Ru 0.000 0.000 0.500 1
Ru2 Ru 0.145 0.249 0.884 1
Au1 Au 0.000 0.500 0.250 1

What did we get for energy of formation from the pure elements? Answer: 0.309 0.074 -0.886 -0.294 eV/atom, in the order shown.
What did we get for calculated total energy? Answer: -7.677 -2.698 -6.626 -6.487 eV/atom, in the order shown.